Entry 1:
Density functional theory data (PBE) for crystalline Ac2GaPd6 at its relaxed geometry.

As for the total energy: -5.506 eV per atom. Its magnetic moment is 0.01 μB per formula unit.

Lattice parameters (Å, degrees): 5.945 5.945 6.012 90.00 90.00 120.00
Fractional coordinates of all 9 atoms:
Pd: 0.829 0.659 0.691
Pd: 0.171 0.341 0.309
Pd: 0.341 0.171 0.691
Pd: 0.659 0.829 0.309
Pd: 0.171 0.829 0.309
Pd: 0.829 0.171 0.691
Ac: 0.333 0.667 0.799
Ac: 0.667 0.333 0.201
Ga: 0.000 0.000 0.000

***

Entry 2:
Density functional theory data (PBE) for crystalline Na5PaS5 at its relaxed geometry.

As for the total energy: -4.686 eV per atom. Its magnetic moment is 0.00 μB per formula unit.

Lattice parameters (Å, degrees): 7.182 7.182 7.920 106.91 106.91 44.91
Fractional coordinates of all 11 atoms:
S: 0.858 0.858 0.169
S: 0.142 0.142 0.831
S: 0.500 0.500 0.000
S: 0.152 0.152 0.311
S: 0.848 0.848 0.689
Na: 0.305 0.305 0.673
Na: 0.683 0.683 0.861
Na: 0.317 0.317 0.139
Na: 0.000 0.000 0.500
Na: 0.695 0.695 0.327
Pa: 0.000 0.000 0.000

***

Entry 3:
Density functional theory data (PBE) for crystalline P5Pt3Au at its relaxed geometry.

As for the total energy: -5.353 eV per atom. Its magnetic moment is 0.00 μB per formula unit.

Lattice parameters (Å, degrees): 6.726 6.726 4.759 90.00 90.00 120.00
Fractional coordinates of all 9 atoms:
P: 0.333 0.667 0.221
P: 0.333 0.667 0.779
P: 0.667 0.333 0.221
P: 0.000 0.000 0.500
P: 0.667 0.333 0.779
Pt: 0.500 0.500 0.500
Pt: 0.000 0.500 0.500
Pt: 0.500 0.000 0.500
Au: 0.000 0.000 0.000

***

Entry 4:
Density functional theory data (PBE) for crystalline LiAlNi2 at its relaxed geometry.

As for the total energy: -4.341 eV per atom. Its magnetic moment is 0.00 μB per formula unit.

Lattice parameters (Å, degrees): 4.063 4.063 7.023 90.00 90.00 120.00
Fractional coordinates of all 8 atoms:
Ni: 0.333 0.667 0.418
Ni: 0.667 0.333 0.918
Ni: 0.333 0.667 0.082
Ni: 0.667 0.333 0.582
Al: 0.333 0.667 0.750
Al: 0.667 0.333 0.250
Li: 0.000 0.000 0.750
Li: 0.000 0.000 0.250

***

Entry 5:
Density functional theory data (PBE) for crystalline YBMo at its relaxed geometry.

The value obtained for the energy relative to the lowest polymorph listed for this composition is 1967 meV per atom. As for the total energy: -6.105 eV per atom. Its magnetic moment is 3.16 μB per formula unit.

Lattice parameters (Å, degrees): 4.454 4.454 4.454 60.00 60.00 60.00
Fractional coordinates of all 3 atoms:
B: 0.500 0.500 0.500
Mo: 0.000 0.000 0.000
Y: 0.250 0.250 0.250

***

Entry 6:
Density functional theory data (PBE) for crystalline TlAg2Cl7 at its relaxed geometry.

As for the total energy: -2.461 eV per atom.

Lattice parameters (Å, degrees): 7.298 8.228 10.371 70.79 79.29 80.49
Fractional coordinates of all 20 atoms:
Cl: 0.819 0.201 0.219
Cl: 0.277 0.418 0.983
Cl: 0.741 0.115 0.659
Cl: 0.181 0.799 0.781
Cl: 0.259 0.885 0.341
Cl: 0.310 0.301 0.317
Cl: 0.752 0.988 0.996
Cl: 0.248 0.012 0.004
Cl: 0.252 0.041 0.657
Cl: 0.245 0.502 0.583
Cl: 0.690 0.699 0.683
Cl: 0.723 0.582 0.017
Cl: 0.755 0.498 0.417
Cl: 0.748 0.959 0.343
Ag: 0.719 0.848 0.839
Ag: 0.513 0.717 0.487
Ag: 0.281 0.152 0.161
Ag: 0.487 0.283 0.513
Tl: 0.953 0.332 0.829
Tl: 0.047 0.668 0.171

***

Entry 7:
Density functional theory data (PBE) for crystalline Cu3Ni at its relaxed geometry.

As for the total energy: -4.139 eV per atom. Its magnetic moment is 0.00 μB per formula unit.

Lattice parameters (Å, degrees): 4.019 4.019 4.019 60.00 60.00 60.00
Fractional coordinates of all 4 atoms:
Cu: 0.250 0.250 0.250
Cu: 0.500 0.500 0.500
Cu: 0.000 0.000 0.000
Ni: 0.750 0.750 0.750

***

Entry 8:
Density functional theory data (PBE) for crystalline Dy2YTm2Lu2Ni2Te2 at its relaxed geometry.

The value obtained for the energy relative to the lowest polymorph listed for this composition is 15 meV per atom. As for the total energy: -5.321 eV per atom. Its magnetic moment is 0.01 μB per formula unit.

Lattice parameters (Å, degrees): 9.258 9.258 9.258 156.17 66.91 118.52
Fractional coordinates of all 11 atoms:
Dy: 0.784 0.098 0.686
Dy: 0.413 0.098 0.314
Ni: 0.643 0.404 0.239
Ni: 0.165 0.404 0.761
Te: 0.745 0.245 0.500
Te: 0.138 0.138 0.000
Lu: 0.761 0.895 0.867
Lu: 0.028 0.895 0.133
Y: 0.477 0.477 0.000
Tm: 0.099 0.746 0.353
Tm: 0.394 0.746 0.647

***

Entry 9:
Density functional theory data (PBE) for crystalline CdSbOs2 at its relaxed geometry.

As for the total energy: -5.944 eV per atom. Its magnetic moment is 0.12 μB per formula unit.

Lattice parameters (Å, degrees): 4.641 4.641 4.641 60.00 60.00 60.00
Fractional coordinates of all 4 atoms:
Cd: 0.250 0.250 0.250
Os: 0.000 0.000 0.000
Os: 0.750 0.750 0.750
Sb: 0.500 0.500 0.500

***

Entry 10:
Density functional theory data (PBE) for crystalline NaTbW at its relaxed geometry.

The value obtained for the energy relative to the lowest polymorph listed for this composition is 0 meV per atom. As for the total energy: -4.632 eV per atom. Its magnetic moment is 3.21 μB per formula unit.

Lattice parameters (Å, degrees): 4.944 4.944 4.944 60.00 60.00 60.00
Fractional coordinates of all 3 atoms:
Tb: 0.750 0.750 0.750
Na: 0.250 0.250 0.250
W: 0.000 0.000 0.000

***

Entry 11:
Density functional theory data (PBE) for crystalline LiScCoAs at its relaxed geometry.

The value obtained for the energy relative to the lowest polymorph listed for this composition is 0 meV per atom. As for the total energy: -5.603 eV per atom. Its magnetic moment is 0.00 μB per formula unit.

Lattice parameters (Å, degrees): 4.207 4.207 4.207 60.00 60.00 60.00
Fractional coordinates of all 4 atoms:
Li: 0.750 0.750 0.750
Co: 0.250 0.250 0.250
Sc: 0.500 0.500 0.500
As: 0.000 0.000 0.000

***

Entry 12:
Density functional theory data (PBE) for crystalline KLaFe at its relaxed geometry.

The value obtained for the energy relative to the lowest polymorph listed for this composition is 0 meV per atom. As for the total energy: -3.788 eV per atom. Its magnetic moment is 1.91 μB per formula unit.

Lattice parameters (Å, degrees): 5.208 5.208 5.208 60.00 60.00 60.00
Fractional coordinates of all 3 atoms:
La: 0.750 0.750 0.750
Fe: 0.000 0.000 0.000
K: 0.250 0.250 0.250